No. 1
The following is a DFT calculation (PBE-GGA) of LiGaIrF2 after structural relaxation.

Calculated values
The space group is P4/mmm (123). The value obtained for the volume is 17.793 A^3/atom. As for the formation energy (no corrections): -56 kJ/mol of atoms.

Lattice parameters (Å, degrees): 4.2865 4.8418 4.2865 90.00 90.00 90.00
With the nearest neighbours (Å) after each atom.
Positions (direct):
F 0.5000 0.0000 0.0000  2 Ir 2.14
F 0.0000 0.0000 0.5000  2 Ir 2.14
Ga 0.0000 0.5000 0.0000  2 Ir 2.42
Li 0.5000 0.5000 0.5000  4 Ga 3.03, 8 F 3.23
Ir 0.0000 0.0000 0.0000  4 F 2.14

***

No. 2
The following is a DFT calculation (PBE-GGA) of Dy5Ag6 after structural relaxation.

Calculated values
The space group is Immm (71). The value obtained for the volume is 25.509 A^3/atom. The formation energy is -0.172 eV/atom.

Lattice parameters (Å, degrees): 5.0207 7.3655 8.8014 114.74 106.60 89.99
With the nearest neighbours (Å) after each atom.
Positions (direct):
Ag 0.1738 0.4357 0.3476  7 Dy 3.04-3.18
Ag 0.8262 0.5643 0.6524  7 Dy 3.04-3.18
Dy 0.0000 0.5000 0.0000  8 Ag 3.02-3.17
Ag 0.4998 0.7279 0.0000  6 Dy 3.02-3.09, 1 Ag 3.36
Dy 0.3288 0.3287 0.6575  8 Ag 3.04-3.09
Ag 0.8263 0.0882 0.6524  7 Dy 3.04-3.18
Ag 0.1737 0.9118 0.3476  7 Dy 3.04-3.18
Dy 0.3481 0.8481 0.6962  8 Ag 3.05-3.18
Dy 0.6519 0.1519 0.3038  8 Ag 3.05-3.18
Ag 0.5002 0.2721 0.0000  6 Dy 3.02-3.09, 1 Ag 3.36
Dy 0.6712 0.6713 0.3425  8 Ag 3.04-3.09

***

No. 3
The following is a DFT calculation (PBE-GGA) of PmAsIr after structural relaxation.

Calculated values
The space group is P-6m2 (187). The value obtained for the volume is 21.319 A^3/atom. The formation energy is -0.928 eV/atom.

Lattice parameters (Å, degrees): 4.0279 4.2819 4.2819 120.00 90.00 90.00
With the nearest neighbours (Å) after each atom.
Positions (direct):
As 0.1667 0.0000 0.0000  3 Ir 2.47
Ir 0.1666 0.3333 0.6667  3 As 2.47
Pm 0.6667 0.6667 0.3333  6 Ir 3.19, 6 As 3.19

***

Number 1 is which compound? LiGaIrF2

***

What is the formula in the first record? LiGaIrF2

***

Among the records above, which one has the lowest volume? LiGaIrF2

***

Copy entry 1 word for word.
The following is a DFT calculation (PBE-GGA) of LiGaIrF2 after structural relaxation.

Calculated values
The space group is P4/mmm (123). The value obtained for the volume is 17.793 A^3/atom. As for the formation energy (no corrections): -56 kJ/mol of atoms.

Lattice parameters (Å, degrees): 4.2865 4.8418 4.2865 90.00 90.00 90.00
With the nearest neighbours (Å) after each atom.
Positions (direct):
F 0.5000 0.0000 0.0000  2 Ir 2.14
F 0.0000 0.0000 0.5000  2 Ir 2.14
Ga 0.0000 0.5000 0.0000  2 Ir 2.42
Li 0.5000 0.5000 0.5000  4 Ga 3.03, 8 F 3.23
Ir 0.0000 0.0000 0.0000  4 F 2.14